KLaYO2 (PBE, optimized geometry); total magnetization = 0.065 μB per atom; raw formation energy = 162.1 meV per atom; calculated density = 4.41 g/cm3; calculated total energy = -4.3190 eV per atom
1.0
-3.1340 2.5831 2.5354
-3.3736 -3.5107 -0.5932
1.5023 -2.1228 4.0198
Y K O La
1 1 2 1
direct
0.0000 0.5000 0.0000 Y
0.0000 0.0000 0.0000 K
0.0000 0.0000 0.5000 O
0.5000 0.0000 0.0000 O
0.5000 0.5000 0.5000 La